# 1
Density functional theory data (GGA-PBE) for a relaxed structure of PmScZn.

## Properties
Magnetization   0.01 μB/f.u.
Space-group type   F-43m
Formation energy from the elements   0.588 eV/atom
Total DFT energy (no corrections)   -3.52 eV per atom
E above lowest polymorph   0.542 eV per atom

Cell lengths 6.865, 6.865, 6.865 Å; angles 90.00, 90.00, 90.00 degrees
Sites, in units of the cell vectors:
Pm 0.000 0.000 0.000
Pm 0.000 0.500 0.500
Pm 0.500 0.000 0.500
Pm 0.500 0.500 0.000
Sc 0.250 0.250 0.750
Sc 0.250 0.750 0.250
Sc 0.750 0.250 0.250
Sc 0.750 0.750 0.750
Zn 0.250 0.250 0.250
Zn 0.250 0.750 0.750
Zn 0.750 0.250 0.750
Zn 0.750 0.750 0.250


# 2
Density functional theory data (GGA-PBE) for a relaxed structure of PmZrSc.

## Properties
Magnetization   0.32 μB/f.u.
Space-group type   F-43m
Formation energy from the elements   0.858 eV/atom
Total DFT energy (no corrections)   -5.68 eV per atom
E above lowest polymorph   0.000 eV per atom

Cell lengths 7.149, 7.149, 7.149 Å; angles 90.00, 90.00, 90.00 degrees
Sites, in units of the cell vectors:
Pm 0.000 0.000 0.000
Pm 0.000 0.500 0.500
Pm 0.500 0.000 0.500
Pm 0.500 0.500 0.000
Zr 0.000 0.000 0.500
Zr 0.000 0.500 0.000
Zr 0.500 0.000 0.000
Zr 0.500 0.500 0.500
Sc 0.250 0.250 0.250
Sc 0.250 0.750 0.750
Sc 0.750 0.250 0.750
Sc 0.750 0.750 0.250


# 3
Density functional theory data (GGA-PBE) for a relaxed structure of PmZrSc.

## Properties
Magnetization   1.57 μB/f.u.
Space-group type   F-43m
Formation energy from the elements   1.016 eV/atom
Total DFT energy (no corrections)   -5.52 eV per atom
E above lowest polymorph   0.158 eV per atom

Cell lengths 7.144, 7.144, 7.144 Å; angles 90.00, 90.00, 90.00 degrees
Sites, in units of the cell vectors:
Pm 0.000 0.000 0.000
Pm 0.000 0.500 0.500
Pm 0.500 0.000 0.500
Pm 0.500 0.500 0.000
Zr 0.250 0.250 0.250
Zr 0.250 0.750 0.750
Zr 0.750 0.250 0.750
Zr 0.750 0.750 0.250
Sc 0.250 0.250 0.750
Sc 0.250 0.750 0.250
Sc 0.750 0.250 0.250
Sc 0.750 0.750 0.750